Density functional theory data (GGA-PBE) for crystalline CdReAsN2 at its relaxed geometry.

```
data_CdReAsN2
_cell_length_a 3.919
_cell_length_b 3.919
_cell_length_c 4.936
_cell_angle_alpha 90.00
_cell_angle_beta 90.00
_cell_angle_gamma 90.00
_symmetry_space_group_name_H-M 'P 4/m m m'
_symmetry_Int_Tables_number 123
_symmetry_space_group_name_Hall '-P 4 2'
loop_
_atom_site_label
_atom_site_type_symbol
_atom_site_fract_x
_atom_site_fract_y
_atom_site_fract_z
Cd1 Cd 0.000 0.000 0.000
Re1 Re 0.500 0.500 0.000
As1 As 0.500 0.500 0.500
N1 N 0.000 0.500 0.500
```

The raw formation energy is 1.94 eV per atom.